BaCa2ZrAl | GGA-PBE | optimized geometry

The space group is P4/mmm (No. 123) and the conventional cell measures 5.660, 5.660 and 5.570 Å, with angles of 90.00, 90.00 and 90.00 degrees. Symmetry generates all atoms from Ba at (0.000, 0.000, 0.000), Ca at (0.000, 0.500, 0.000), Zr at (0.500, 0.500, 0.500) and Al at (0.000, 0.000, 0.500).

Its density of states at the Fermi level is 5.27 states/eV per cell. The magnetic moment is 0.000 μB/atom. As for the energy of formation from the pure elements: 1.4110 eV per atom.

=====

BaAl2Cd2 | GGA-PBE | optimized geometry

The space group is P4/mbm (No. 127) and the conventional cell measures 8.841, 8.841 and 3.191 Å, with angles of 90.00, 90.00 and 90.00 degrees. Symmetry generates all atoms from Ba at (0.000, 0.000, 0.000), Al at (0.163, 0.337, 0.500) and Cd at (0.127, 0.627, 0.000).

Its density of states at the Fermi level is 4.63 states/eV per cell. The magnetic moment is 0.000 μB/atom. As for the energy of formation from the pure elements: 0.0326 eV per atom.

=====

Ba6AlCd5 | GGA-PBE | optimized geometry

The space group is Cmmm (No. 65) and the conventional cell measures 5.979, 17.943 and 8.540 Å, with angles of 90.00, 90.00 and 90.00 degrees. Symmetry generates all atoms from Ba at (0.000, 0.000, 0.246), Ba at (0.000, 0.335, 0.247), Al at (0.000, 0.500, 0.000), Cd at (0.000, 0.165, 0.000), Cd at (0.000, 0.168, 0.500) and Cd at (0.000, 0.500, 0.500).

Its density of states at the Fermi level is 16.79 states/eV per cell. The magnetic moment is 0.000 μB/atom. As for the energy of formation from the pure elements: -0.2768 eV per atom.

=====

Ba2AlCd | GGA-PBE | optimized geometry

The space group is P4mm (No. 99) and the conventional cell measures 4.055, 4.055 and 9.510 Å, with angles of 90.00, 90.00 and 90.00 degrees. Symmetry generates all atoms from Ba at (0.000, 0.000, 0.000), Ba at (0.500, 0.500, 0.398), Al at (0.500, 0.500, 0.767) and Cd at (0.000, 0.000, 0.630).

Its density of states at the Fermi level is 4.20 states/eV per cell. The magnetic moment is 0.000 μB/atom. As for the energy of formation from the pure elements: -0.0143 eV per atom.

=====

Ba3AlCd3 | GGA-PBE | optimized geometry

The space group is C2/m (No. 12) and the conventional cell measures 12.414, 5.012 and 17.551 Å, with angles of 90.00, 110.29 and 90.00 degrees. Symmetry generates all atoms from Ba at (0.041, 0.000, 0.394), Ba at (0.098, 0.000, 0.918), Ba at (0.233, 0.500, 0.759), Al at (0.248, 0.500, 0.399), Cd at (0.066, 0.500, 0.244), Cd at (0.106, 0.500, 0.080) and Cd at (0.147, 0.500, 0.541).

Its density of states at the Fermi level is 24.88 states/eV per cell. The magnetic moment is 0.000 μB/atom. As for the energy of formation from the pure elements: -0.2598 eV per atom.

=====

Ba2Al2Cd | GGA-PBE | optimized geometry

The space group is P4/mbm (No. 127) and the conventional cell measures 7.680, 7.680 and 5.490 Å, with angles of 90.00, 90.00 and 90.00 degrees. Symmetry generates all atoms from Ba at (0.177, 0.323, 0.000), Al at (0.125, 0.625, 0.500) and Cd at (0.000, 0.000, 0.500).

Its density of states at the Fermi level is 12.52 states/eV per cell. The magnetic moment is 0.000 μB/atom. As for the energy of formation from the pure elements: -0.0680 eV per atom.

=====

Ba2AlCd | GGA-PBE | optimized geometry

The space group is I-4m2 (No. 119) and the conventional cell measures 5.204, 5.204 and 10.307 Å, with angles of 90.00, 90.00 and 90.00 degrees. Symmetry generates all atoms from Ba at (0.000, 0.000, 0.000), Ba at (0.000, 0.500, 0.250), Al at (0.000, 0.000, 0.500) and Cd at (0.000, 0.500, 0.750).

Its density of states at the Fermi level is 6.70 states/eV per cell. The magnetic moment is 0.000 μB/atom. As for the energy of formation from the pure elements: -0.0297 eV per atom.

=====

Ba2AlCd5 | GGA-PBE | optimized geometry

The space group is Cmcm (No. 63) and the conventional cell measures 5.214, 18.226 and 10.155 Å, with angles of 90.00, 90.00 and 90.00 degrees. Symmetry generates all atoms from Ba at (0.000, 0.000, 0.000), Ba at (0.000, 0.205, 0.250), Al at (0.000, 0.437, 0.750), Cd at (0.000, 0.186, 0.605), Cd at (0.000, 0.352, 0.524) and Cd at (0.000, 0.411, 0.250).

Its density of states at the Fermi level is 26.05 states/eV per cell. The magnetic moment is 0.000 μB/atom. As for the energy of formation from the pure elements: -0.2426 eV per atom.

=====

Ba4AlCd2 | GGA-PBE | optimized geometry

The space group is R-3m (No. 166, hexagonal axes) and the conventional cell measures 5.9678, 5.9678 and 29.3259 Å, with angles of 90.00, 90.00 and 120.00 degrees. Symmetry generates all atoms from Ba at (0.0000, 0.0000, 0.1223), Ba at (0.0000, 0.0000, 0.3732), Al at (0.0000, 0.0000, 0.0000) and Cd at (0.0000, 0.0000, 0.2513).

Its density of states at the Fermi level is 20.37 states/eV per cell. The magnetic moment is 0.000 μB/atom. As for the energy of formation from the pure elements: -0.1703 eV per atom.

=====

Ba5AlCd4 | GGA-PBE | optimized geometry

The space group is P4/mmm (No. 123) and the conventional cell measures 4.231, 4.231 and 21.255 Å, with angles of 90.00, 90.00 and 90.00 degrees. Symmetry generates all atoms from Ba at (0.000, 0.000, 0.000), Ba at (0.000, 0.000, 0.202), Ba at (0.000, 0.000, 0.405), Al at (0.500, 0.500, 0.500), Cd at (0.500, 0.500, 0.100) and Cd at (0.500, 0.500, 0.304).

Its density of states at the Fermi level is 5.24 states/eV per cell. The magnetic moment is 0.000 μB/atom. As for the energy of formation from the pure elements: -0.2672 eV per atom.

=====

Ba2Al5Cd3 | GGA-PBE | optimized geometry

The space group is P-4m2 (No. 115) and the conventional cell measures 4.658, 4.658 and 11.842 Å, with angles of 90.00, 90.00 and 90.00 degrees. Symmetry generates all atoms from Ba at (0.000, 0.500, 0.235), Al at (0.000, 0.000, 0.000), Al at (0.000, 0.000, 0.500), Al at (0.000, 0.500, 0.879), Al at (0.500, 0.500, 0.000), Cd at (0.000, 0.500, 0.642) and Cd at (0.500, 0.500, 0.500).

Its density of states at the Fermi level is 4.43 states/eV per cell. The magnetic moment is 0.000 μB/atom. As for the energy of formation from the pure elements: -0.2278 eV per atom.

=====

Ba3Al4Cd | GGA-PBE | optimized geometry

The space group is Pmmn (No. 59, origin choice 2) and the conventional cell measures 6.318, 13.029 and 6.435 Å, with angles of 90.00, 90.00 and 90.00 degrees. Symmetry generates all atoms from Ba at (0.250, 0.003, 0.191), Ba at (0.250, 0.250, 0.544), Al at (0.019, 0.250, 0.049), Al at (0.250, 0.643, 0.698) and Cd at (0.250, 0.750, 0.294).

Its density of states at the Fermi level is 6.53 states/eV per cell. The magnetic moment is 0.000 μB/atom. As for the energy of formation from the pure elements: -0.1817 eV per atom.

=====

Ba2AlCd | GGA-PBE | optimized geometry

The space group is I-42d (No. 122) and the conventional cell measures 5.616, 5.616 and 22.551 Å, with angles of 90.00, 90.00 and 90.00 degrees. Symmetry generates all atoms from Ba at (0.248, 0.250, 0.125), Al at (0.000, 0.000, 0.000) and Cd at (0.000, 0.000, 0.500).

Its density of states at the Fermi level is 26.53 states/eV per cell. The magnetic moment is 0.000 μB/atom. As for the energy of formation from the pure elements: 0.3122 eV per atom.

=====

Ba2AlCd7 | GGA-PBE | optimized geometry

The space group is P-4m2 (No. 115) and the conventional cell measures 4.751, 4.751 and 12.663 Å, with angles of 90.00, 90.00 and 90.00 degrees. Symmetry generates all atoms from Ba at (0.000, 0.500, 0.243), Al at (0.500, 0.500, 0.000), Cd at (0.000, 0.000, 0.000), Cd at (0.000, 0.000, 0.500), Cd at (0.000, 0.500, 0.642), Cd at (0.000, 0.500, 0.872) and Cd at (0.500, 0.500, 0.500).

Its density of states at the Fermi level is 5.90 states/eV per cell. The magnetic moment is 0.000 μB/atom. As for the energy of formation from the pure elements: -0.2460 eV per atom.

=====

Ba2AlCd | GGA-PBE | optimized geometry

The space group is Pmm2 (No. 25) and the conventional cell measures 4.198, 5.953 and 5.963 Å, with angles of 90.00, 90.00 and 90.00 degrees. Symmetry generates all atoms from Ba at (0.000, 0.000, 0.000), Ba at (0.000, 0.500, 0.489), Al at (0.500, 0.000, 0.505) and Cd at (0.500, 0.500, 0.984).

Its density of states at the Fermi level is 3.34 states/eV per cell. The magnetic moment is 0.000 μB/atom. As for the energy of formation from the pure elements: -0.1703 eV per atom.

=====

Ba3Al2Cd3 | GGA-PBE | optimized geometry

The space group is Cmcm (No. 63) and the conventional cell measures 5.266, 12.078 and 16.465 Å, with angles of 90.00, 90.00 and 90.00 degrees. Symmetry generates all atoms from Ba at (0.000, 0.046, 0.250), Ba at (0.000, 0.161, 0.535), Al at (0.000, 0.321, 0.170), Cd at (0.000, 0.255, 0.750) and Cd at (0.000, 0.461, 0.596).

Its density of states at the Fermi level is 27.09 states/eV per cell. The magnetic moment is 0.000 μB/atom. As for the energy of formation from the pure elements: -0.1438 eV per atom.

=====

BaAl2Cd2 | GGA-PBE | optimized geometry

The space group is P4/mbm (No. 127) and the conventional cell measures 8.792, 8.792 and 3.190 Å, with angles of 90.00, 90.00 and 90.00 degrees. Symmetry generates all atoms from Ba at (0.000, 0.000, 0.000), Al at (0.127, 0.373, 0.000) and Cd at (0.160, 0.660, 0.500).

Its density of states at the Fermi level is 4.84 states/eV per cell. The magnetic moment is 0.000 μB/atom. As for the energy of formation from the pure elements: 0.0124 eV per atom.

=====

Ba2AlCd | GGA-PBE | optimized geometry

The space group is P4/mmm (No. 123) and the conventional cell measures 4.166, 4.166 and 8.590 Å, with angles of 90.00, 90.00 and 90.00 degrees. Symmetry generates all atoms from Ba at (0.000, 0.000, 0.240), Al at (0.500, 0.500, 0.000) and Cd at (0.500, 0.500, 0.500).

Its density of states at the Fermi level is 2.08 states/eV per cell. The magnetic moment is 0.000 μB/atom. As for the energy of formation from the pure elements: -0.1814 eV per atom.

=====

Ba2AlCd | GGA-PBE | optimized geometry

The space group is Cm (No. 8) and the conventional cell measures 13.390, 4.006 and 5.901 Å, with angles of 90.00, 116.07 and 90.00 degrees. Symmetry generates all atoms from Ba at (0.000, 0.000, 0.000), Ba at (0.190, 0.000, 0.690), Al at (0.434, 0.000, 0.435) and Cd at (0.268, 0.500, 0.268).

Its density of states at the Fermi level is 4.02 states/eV per cell. The magnetic moment is 0.000 μB/atom. As for the energy of formation from the pure elements: -0.1702 eV per atom.

=====

Ba2Al2Cd | GGA-PBE | optimized geometry

The space group is I4/mmm (No. 139) and the conventional cell measures 6.741, 6.741 and 8.092 Å, with angles of 90.00, 90.00 and 90.00 degrees. Symmetry generates all atoms from Ba at (0.000, 0.500, 0.250), Al at (0.000, 0.000, 0.154) and Cd at (0.000, 0.000, 0.500).

Its density of states at the Fermi level is 10.49 states/eV per cell. The magnetic moment is 0.000 μB/atom. As for the energy of formation from the pure elements: 0.0651 eV per atom.

=====

Ba8Al2Cd | GGA-PBE | optimized geometry

The space group is Immm (No. 71) and the conventional cell measures 5.919, 10.202 and 16.390 Å, with angles of 90.00, 90.00 and 90.00 degrees. Symmetry generates all atoms from Ba at (0.000, 0.000, 0.136), Ba at (0.000, 0.212, 0.342), Ba at (0.000, 0.333, 0.000), Al at (0.000, 0.500, 0.199) and Cd at (0.000, 0.500, 0.500).

Its density of states at the Fermi level is 25.83 states/eV per cell. The magnetic moment is 0.000 μB/atom. As for the energy of formation from the pure elements: -0.0305 eV per atom.

=====

Ba2Al2Cd15 | GGA-PBE | optimized geometry

The space group is R-3m (No. 166, hexagonal axes) and the conventional cell measures 10.3785, 10.3785 and 15.0049 Å, with angles of 90.00, 90.00 and 120.00 degrees. Symmetry generates all atoms from Ba at (0.0000, 0.0000, 0.1684), Al at (0.0000, 0.0000, 0.4083), Cd at (0.0000, 0.2960, 0.5000), Cd at (0.0000, 0.5000, 0.0000) and Cd at (0.0093, 0.5046, 0.6522).

Its density of states at the Fermi level is 18.05 states/eV per cell. The magnetic moment is 0.000 μB/atom. As for the energy of formation from the pure elements: -0.1461 eV per atom.

=====

Ba6AlCd | GGA-PBE | optimized geometry

The space group is I4/mmm (No. 139) and the conventional cell measures 6.062, 6.062 and 21.996 Å, with angles of 90.00, 90.00 and 90.00 degrees. Symmetry generates all atoms from Ba at (0.000, 0.000, 0.247), Ba at (0.000, 0.500, 0.090), Al at (0.000, 0.000, 0.000) and Cd at (0.000, 0.000, 0.500).

Its density of states at the Fermi level is 19.04 states/eV per cell. The magnetic moment is 0.000 μB/atom. As for the energy of formation from the pure elements: -0.0978 eV per atom.